VASP calculation (PBE-GGA) on a geometry-optimized Er6IrPd2 structure.

POSCAR file:
```
Er6IrPd2
1.0
6.492 0.000 0.210
0.000 7.298 0.000
-0.493 0.000 9.917
Er Pd Ir
12 4 2
direct
0.828 0.675 0.568
0.342 0.817 0.432
0.172 0.325 0.432
0.328 0.825 0.068
0.154 0.041 0.753
0.842 0.683 0.932
0.346 0.541 0.747
0.846 0.959 0.247
0.158 0.317 0.068
0.654 0.459 0.253
0.672 0.175 0.932
0.658 0.183 0.568
0.441 0.116 0.256
0.559 0.884 0.744
0.941 0.384 0.756
0.059 0.616 0.244
0.000 0.000 0.500
0.500 0.500 0.000
```

Output
Formation energy from the elements: -0.632 eV per atom
Crystal system: monoclinic
Symmetry: P2_1/c (14)
D(E_F): 14.49 states/eV per cell
Energy above the lowest structure with this stoichiometry: 0.0051 eV/atom

=====

VASP calculation (PBE-GGA) on a geometry-optimized Mn2TcHg structure.

POSCAR file:
```
Mn2TcHg
1.0
-1.300 -1.993 6.170
-0.323 -2.660 -3.763
1.902 -1.924 1.195
Tc Mn Hg
1 2 1
direct
0.000 0.500 0.500
0.000 0.000 0.000
0.500 0.000 0.500
0.500 0.500 0.000
```

Output
Formation energy from the elements: 0.431 eV per atom
Crystal system: orthorhombic
Symmetry: Cmmm (65)
D(E_F): 5.57 states/eV per cell